# SmPaZnIr (PBE-GGA, relaxed)
# crystal system = cubic
# SG = No. 216
# VASP energy = -6.399 eV per atom
# spin magnetization = 0.00 μB/f.u.
data_SmPaZnIr
_symmetry_space_group_name_H-M 'P 1'
_symmetry_Int_Tables_number 1
_cell_length_a 4.9867
_cell_length_b 4.9867
_cell_length_c 4.9867
_cell_angle_alpha 60.00
_cell_angle_beta 60.00
_cell_angle_gamma 60.00
loop_
_symmetry_equiv_pos_as_xyz
'x,y,z'
loop_
_atom_site_label
_atom_site_type_symbol
_atom_site_fract_x
_atom_site_fract_y
_atom_site_fract_z
Zn1 Zn 0.0000 0.0000 0.0000
Sm1 Sm 0.2500 0.2500 0.2500
Pa1 Pa 0.7500 0.7500 0.7500
Ir1 Ir 0.5000 0.5000 0.5000